No. 1
# PBE Zr12Tl3Pb, relaxed
data_Zr12Tl3Pb
_chemical_formula_sum 'Zr12 Tl3 Pb1'
_space_group_name_H-M_alt 'P 4/m m m'
_space_group_IT_number 123
_space_group_name_Hall '-P 4 2'
_cell_length_a 4.500
_cell_length_b 4.500
_cell_length_c 17.902
_cell_angle_alpha 90.00
_cell_angle_beta 90.00
_cell_angle_gamma 90.00
loop_
_atom_site_label
_atom_site_type_symbol
_atom_site_fract_x
_atom_site_fract_y
_atom_site_fract_z
_atom_site_occupancy
Zr1 Zr 0.000 0.000 0.000 1
Zr2 Zr 0.000 0.000 0.249 1
Zr3 Zr 0.000 0.000 0.500 1
Zr4 Zr 0.000 0.500 0.125 1
Zr5 Zr 0.000 0.500 0.374 1
Tl1 Tl 0.500 0.500 0.000 1
Tl2 Tl 0.500 0.500 0.249 1
Pb1 Pb 0.500 0.500 0.500 1
# Formation energy: -0.12 eV per atom
# Calculated total energy: -7.208 eV/atom
# Crystal system: tetragonal
# Mass density: 8771 kg/m³

***

No. 2
# PBE AlTl2SnSe5, relaxed
data_AlTl2SnSe5
_chemical_formula_sum 'Al4 Tl8 Sn4 Se20'
_space_group_name_H-M_alt 'C m c 21'
_space_group_IT_number 36
_space_group_name_Hall 'C 2c -2'
_cell_length_a 3.904
_cell_length_b 19.166
_cell_length_c 13.272
_cell_angle_alpha 90.00
_cell_angle_beta 90.00
_cell_angle_gamma 90.00
loop_
_atom_site_label
_atom_site_type_symbol
_atom_site_fract_x
_atom_site_fract_y
_atom_site_fract_z
_atom_site_occupancy
Al1 Al 0.000 0.056 0.000 1
Tl1 Tl 0.000 0.376 0.887 1
Tl2 Tl 0.000 0.391 0.237 1
Sn1 Sn 0.000 0.293 0.597 1
Se1 Se 0.000 0.010 0.350 1
Se2 Se 0.000 0.157 0.555 1
Se3 Se 0.000 0.180 0.952 1
Se4 Se 0.000 0.210 0.241 1
Se5 Se 0.000 0.452 0.610 1
# Calculated total energy: -3.792 eV/atom
# Crystal system: orthorhombic
# Formation energy from raw total energies: -10.8 kcal/mol of atoms
# Mass density: 6350 kg/m³

***

No. 3
# PBE Tb3Zn2Ga9, relaxed
data_Tb3Zn2Ga9
_chemical_formula_sum 'Tb6 Zn4 Ga18'
_space_group_name_H-M_alt 'I m m m'
_space_group_IT_number 71
_space_group_name_Hall '-I 2 2'
_cell_length_a 4.219
_cell_length_b 10.029
_cell_length_c 12.538
_cell_angle_alpha 90.00
_cell_angle_beta 90.00
_cell_angle_gamma 90.00
loop_
_atom_site_label
_atom_site_type_symbol
_atom_site_fract_x
_atom_site_fract_y
_atom_site_fract_z
_atom_site_occupancy
Tb1 Tb 0.000 0.000 0.000 1
Tb2 Tb 0.000 0.000 0.320 1
Zn1 Zn 0.000 0.214 0.500 1
Ga1 Ga 0.000 0.276 0.141 1
Ga2 Ga 0.000 0.374 0.338 1
Ga3 Ga 0.000 0.500 0.000 1
# Formation energy: -0.46 eV per atom
# Calculated total energy: -3.582 eV/atom
# Crystal system: orthorhombic
# Mass density: 7733 kg/m³

***

No. 4
# PBE Pm6Zn2Rh, relaxed
data_Pm6Zn2Rh
_chemical_formula_sum 'Pm12 Zn4 Rh2'
_space_group_name_H-M_alt 'C 1 2/m 1'
_space_group_IT_number 12
_space_group_name_Hall '-C 2y'
_cell_length_a 15.788
_cell_length_b 7.044
_cell_length_c 5.117
_cell_angle_alpha 90.00
_cell_angle_beta 108.82
_cell_angle_gamma 90.00
loop_
_atom_site_label
_atom_site_type_symbol
_atom_site_fract_x
_atom_site_fract_y
_atom_site_fract_z
_atom_site_occupancy
Pm1 Pm 0.000 0.244 0.000 1
Pm2 Pm 0.160 0.248 0.659 1
Zn1 Zn 0.167 0.500 0.167 1
Rh1 Rh 0.000 0.000 0.500 1
# Formation energy: -0.12 eV per atom
# Calculated total energy: -4.390 eV/atom
# Crystal system: monoclinic
# Mass density: 6806 kg/m³

***

No. 5
# PBE Rb2GaPb, relaxed
data_Rb2GaPb
_chemical_formula_sum 'Rb8 Ga4 Pb4'
_space_group_name_H-M_alt 'F m -3 m'
_space_group_IT_number 225
_space_group_name_Hall '-F 4 2 3'
_cell_length_a 8.701
_cell_length_b 8.701
_cell_length_c 8.701
_cell_angle_alpha 90.00
_cell_angle_beta 90.00
_cell_angle_gamma 90.00
loop_
_atom_site_label
_atom_site_type_symbol
_atom_site_fract_x
_atom_site_fract_y
_atom_site_fract_z
_atom_site_occupancy
Rb1 Rb 0.250 0.250 0.250 1
Ga1 Ga 0.000 0.000 0.000 1
Pb1 Pb 0.000 0.000 0.500 1
# Formation energy: 0.21 eV per atom
# Calculated total energy: -1.957 eV/atom
# Crystal system: cubic
# Mass density: 4516 kg/m³

***

No. 6
# PBE Mg2Si, relaxed
data_Mg2Si
_chemical_formula_sum 'Mg8 Si4'
_space_group_name_H-M_alt 'P 1'
_space_group_IT_number 1
_space_group_name_Hall 'P 1'
_cell_length_a 5.947
_cell_length_b 6.772
_cell_length_c 6.858
_cell_angle_alpha 72.93
_cell_angle_beta 68.34
_cell_angle_gamma 73.23
loop_
_atom_site_label
_atom_site_type_symbol
_atom_site_fract_x
_atom_site_fract_y
_atom_site_fract_z
_atom_site_occupancy
Mg1 Mg 0.000 0.000 0.000 1
Mg2 Mg 0.018 0.444 0.110 1
Mg3 Mg 0.263 0.058 0.384 1
Mg4 Mg 0.366 0.621 0.300 1
Mg5 Mg 0.407 0.686 0.759 1
Mg6 Mg 0.698 0.136 0.421 1
Mg7 Mg 0.851 0.353 0.634 1
Mg8 Mg 0.908 0.761 0.716 1
Si1 Si 0.279 0.318 0.704 1
Si2 Si 0.490 0.037 0.935 1
Si3 Si 0.565 0.329 0.050 1
Si4 Si 0.773 0.739 0.372 1
# Calculated total energy: -2.825 eV/atom
# Crystal system: triclinic
# Formation energy from raw total energies: 1.0 kcal/mol of atoms
# Mass density: 2120 kg/m³

***

No. 7
# PBE Li3Ag2, relaxed
data_Li3Ag2
_chemical_formula_sum 'Li24 Ag16'
_space_group_name_H-M_alt 'F d d 2'
_space_group_IT_number 43
_space_group_name_Hall 'F 2 -2d'
_cell_length_a 9.427
_cell_length_b 13.895
_cell_length_c 5.031
_cell_angle_alpha 90.00
_cell_angle_beta 90.00
_cell_angle_gamma 90.00
loop_
_atom_site_label
_atom_site_type_symbol
_atom_site_fract_x
_atom_site_fract_y
_atom_site_fract_z
_atom_site_occupancy
Li1 Li 0.000 0.000 0.000 1
Li2 Li 0.008 0.394 0.002 1
Ag1 Ag 0.005 0.303 0.509 1
# Formation energy: -0.17 eV per atom
# Calculated total energy: -2.463 eV/atom
# Crystal system: orthorhombic
# Mass density: 4768 kg/m³

***

No. 8
# PBE Pm2Ni2Ge2H, relaxed
data_Pm2Ni2Ge2H
_chemical_formula_sum 'Pm4 Ni4 Ge4 H2'
_space_group_name_H-M_alt 'C 1 2/m 1'
_space_group_IT_number 12
_space_group_name_Hall '-C 2y'
_cell_length_a 10.739
_cell_length_b 4.119
_cell_length_c 7.063
_cell_angle_alpha 90.00
_cell_angle_beta 131.07
_cell_angle_gamma 90.00
loop_
_atom_site_label
_atom_site_type_symbol
_atom_site_fract_x
_atom_site_fract_y
_atom_site_fract_z
_atom_site_occupancy
Pm1 Pm 0.050 0.000 0.287 1
Ni1 Ni 0.195 0.500 0.087 1
Ge1 Ge 0.164 0.500 0.706 1
H1 H 0.000 0.500 0.000 1
# Calculated total energy: -5.473 eV/atom
# Crystal system: monoclinic
# Mass density: 7806 kg/m³

***

It is found that the N(E_F) values, taken in the order of the records, are 0.9109, 0.1744, 0.2047, 1.6341, 1.1603, 0.3444, 0.3239, 0.4626 states/eV/atom.